(1)
Material: TlMoBr2
Method: DFT, PBE
State: optimized geometry

Values from the calculation:
Magnetization (μB per atom): 1.25
Uncorrected energy (eV per atom): -3.524
Formation energy from raw total energies (eV per atom): 0.612
Space group: F-43m
Relative energy among the computed polymorphs (meV per atom): 627.6

a = 5.3744 Å, b = 5.3744 Å, c = 5.3744 Å
α = 60.00°, β = 60.00°, γ = 60.00°
Site moments in Bohr magnetons follow the coordinates.
Positions (direct):
Br  0.0000  0.0000  0.0000  0.10
Tl  0.7500  0.7500  0.7500  0.10
Mo  0.5000  0.5000  0.5000  3.80
Br  0.2500  0.2500  0.2500  0.01

(2)
Material: TlMoBr2
Method: DFT, PBE
State: optimized geometry

Values from the calculation:
Magnetization (μB per atom): 1.06
Uncorrected energy (eV per atom): -3.872
Formation energy from raw total energies (eV per atom): 0.264
Space group: Imm2
Relative energy among the computed polymorphs (meV per atom): 279.5

a = 7.8309 Å, b = 7.8309 Å, c = 4.4587 Å
α = 73.46°, β = 73.46°, γ = 26.42°
Site moments in Bohr magnetons follow the coordinates.
Positions (direct):
Br  0.8213  0.8213  0.6787  0.07
Tl  0.1865  0.1865  0.3136  0.04
Br  0.0136  0.0136  0.9864  0.02
Mo  0.4786  0.4786  0.5212  3.34

(3)
Material: TlMoBr2
Method: DFT, PBE
State: optimized geometry

Values from the calculation:
Magnetization (μB per atom): 0.00
Uncorrected energy (eV per atom): -4.107
Formation energy from raw total energies (eV per atom): 0.029
Space group: C2/m
Relative energy among the computed polymorphs (meV per atom): 44.9

a = 3.3870 Å, b = 3.3870 Å, c = 10.6029 Å
α = 80.51°, β = 80.51°, γ = 60.01°
Positions (direct):
Mo  0.7500  0.7500  0.7500
Br  0.4754  0.4754  0.5796
Br  0.0246  0.0246  0.9204
Tl  0.2500  0.2500  0.2500

(4)
Material: Tl2MoBr5
Method: DFT, PBE
State: optimized geometry

Values from the calculation:
Magnetization (μB per atom): 0.38
Uncorrected energy (eV per atom): -3.602
Formation energy from raw total energies (eV per atom): -0.611
Space group: Cm
Relative energy among the computed polymorphs (meV per atom): 4.6

a = 7.7140 Å, b = 7.8848 Å, c = 7.5593 Å
α = 123.89°, β = 120.68°, γ = 90.00°
Site moments in Bohr magnetons follow the coordinates.
Positions (direct):
Br  0.2069  0.7355  0.9438  0.02
Br  0.7403  0.8020  0.4807  0.04
Br  0.8155  0.2689  0.1000  0.02
Br  0.7368  0.7355  0.9438  0.02
Tl  0.2655  0.7375  0.5310  0.01
Mo  0.9808  0.9784  0.9617  2.41
Br  0.2846  0.2689  0.1000  0.02
Tl  0.7465  0.2503  0.4931  0.01

(5)
Material: Tl2MoBr5
Method: DFT, PBE
State: optimized geometry

Values from the calculation:
Magnetization (μB per atom): 0.38
Uncorrected energy (eV per atom): -3.607
Formation energy from raw total energies (eV per atom): -0.616
Space group: Cmcm
Relative energy among the computed polymorphs (meV per atom): 0.0

a = 5.3015 Å, b = 9.1876 Å, c = 14.1611 Å
α = 90.00°, β = 90.00°, γ = 106.77°
Site moments in Bohr magnetons follow the coordinates.
Positions (direct):
Tl  0.1419  0.2839  0.9257  0.01
Br  0.9509  0.9018  0.6221  0.03
Br  0.2560  0.5120  0.1141  0.01
Br  0.7440  0.4880  0.6141  0.01
Br  0.0491  0.0982  0.3779  0.03
Br  0.3230  0.6460  0.7500  0.01
Tl  0.8581  0.7161  0.0743  0.01
Tl  0.8581  0.7161  0.4257  0.01
Mo  0.1518  0.3036  0.2500  2.45
Mo  0.8482  0.6964  0.7500  2.45
Br  0.6770  0.3540  0.2500  0.01
Br  0.2560  0.5120  0.3859  0.01
Tl  0.1419  0.2839  0.5743  0.01
Br  0.0491  0.0982  0.1221  0.03
Br  0.9509  0.9018  0.8779  0.03
Br  0.7440  0.4880  0.8859  0.01

(6)
Material: Tl3MoBr6
Method: DFT, PBE
State: optimized geometry

Values from the calculation:
Magnetization (μB per atom): 0.30
Uncorrected energy (eV per atom): -3.516
Formation energy from raw total energies (eV per atom): -0.720
Space group: P2_1/c

a = 7.5413 Å, b = 8.4326 Å, c = 11.0909 Å
α = 90.00°, β = 86.86°, γ = 90.00°
Site moments in Bohr magnetons follow the coordinates.
Positions (direct):
Br  0.1220  0.0547  0.7783  0.01
Br  0.8780  0.9453  0.2217  0.01
Br  0.2888  0.8394  0.0389  0.01
Mo  0.0000  0.0000  0.0000  2.44
Mo  0.5000  0.5000  0.5000  2.44
Br  0.7888  0.6606  0.5389  0.01
Tl  0.5341  0.9206  0.7610  0.01
Tl  0.0000  0.0000  0.5000  0.01
Br  0.6529  0.2382  0.5704  0.01
Tl  0.5000  0.5000  0.0000  0.01
Br  0.2112  0.3394  0.4611  0.01
Tl  0.4659  0.0794  0.2390  0.01
Br  0.7112  0.1606  0.9611  0.01
Tl  0.0341  0.5794  0.2610  0.01
Br  0.6220  0.4453  0.2783  0.01
Tl  0.9659  0.4206  0.7390  0.01
Br  0.8471  0.7382  0.9296  0.01
Br  0.1529  0.2618  0.0704  0.01
Br  0.3471  0.7618  0.4296  0.01
Br  0.3780  0.5547  0.7217  0.01

(7)
Material: Tl4MoBr
Method: DFT, PBE
State: optimized geometry

Values from the calculation:
Magnetization (μB per atom): 0.75
Uncorrected energy (eV per atom): -2.991
Formation energy from raw total energies (eV per atom): 0.671
Space group: F-43m

a = 6.4032 Å, b = 6.4032 Å, c = 6.4032 Å
α = 60.00°, β = 60.00°, γ = 60.00°
Site moments in Bohr magnetons follow the coordinates.
Positions (direct):
Tl  0.8756  0.3748  0.3748  -0.01
Tl  0.3748  0.3748  0.3748  -0.01
Br  0.7500  0.7500  0.7500  0.03
Tl  0.3748  0.8756  0.3748  -0.01
Mo  0.0000  0.0000  0.0000  3.71
Tl  0.3748  0.3748  0.8756  -0.01

(8)
Material: TlMo2Br
Method: DFT, PBE
State: optimized geometry

Values from the calculation:
Magnetization (μB per atom): 0.15
Uncorrected energy (eV per atom): -5.446
Formation energy from raw total energies (eV per atom): 0.980
Space group: Pmmm
Relative energy among the computed polymorphs (meV per atom): 681.4

a = 2.9863 Å, b = 5.3551 Å, c = 4.9366 Å
α = 90.00°, β = 90.00°, γ = 90.00°
Site moments in Bohr magnetons follow the coordinates.
Positions (direct):
Br  0.0000  0.5000  0.5000  -0.02
Tl  0.5000  0.0000  0.5000  0.01
Mo  0.5000  0.5000  0.0000  1.10
Mo  0.0000  0.0000  0.0000  -0.57